1.
Here is a geometry-optimized Al3Ir structure from Alexandria via LeMat-Bulk. Energies are from PBE.

Calculated values
**ΔE_f**: -0.364 eV per atom
**Space group**: R-3m
**Calculated density**: 7330 kg/m³

Unit cell a=8.578 b=8.578 c=8.578 alpha=19.56 beta=19.56 gamma=19.56
Sites, in units of the cell vectors:
Ir 0.000 0.000 0.000
Al 0.744 0.744 0.744
Al 0.500 0.500 0.500
Al 0.256 0.256 0.256

***

2.
Here is a geometry-optimized Hf2NbW structure from Alexandria via LeMat-Bulk. Energies are from PBE.

Calculated values
**Excess energy over the best structure of this formula in the dataset**: 0.0127 eV per atom
**ΔE_f**: 0.143 eV per atom
**Space group**: Fm-3m
**Calculated density**: 13722 kg/m³

Unit cell a=4.769 b=4.769 c=4.769 alpha=60.00 beta=60.00 gamma=60.00
Sites, in units of the cell vectors:
Nb 0.000 0.000 0.000
Hf 0.250 0.250 0.250
Hf 0.750 0.750 0.750
W 0.500 0.500 0.500

***

3.
Here is a geometry-optimized Nd2UGeN5 structure from Alexandria via LeMat-Bulk. Energies are from PBE.

Calculated values
**Space group**: Cmc2_1
**Uncorrected formation energy**: -0.993 eV per atom
**Calculated density**: 8511 kg/m³

Unit cell a=3.464 b=7.412 c=10.460 alpha=90.00 beta=90.00 gamma=103.51
Site moments in Bohr magnetons follow the coordinates.
Sites, in units of the cell vectors:
Nd 0.871 0.742 0.820  0.01
Nd 0.107 0.214 0.680  0.00
Nd 0.129 0.258 0.320  0.01
Nd 0.893 0.786 0.180  0.00
U 0.795 0.589 0.523  0.71
U 0.205 0.411 0.023  0.71
Ge 0.544 0.089 0.941  0.00
Ge 0.456 0.911 0.441  0.00
N 0.351 0.702 0.005  -0.02
N 0.680 0.360 0.885  -0.02
N 0.493 0.986 0.781  0.00
N 0.288 0.575 0.657  -0.03
N 0.957 0.914 0.532  -0.01
N 0.649 0.298 0.505  -0.02
N 0.320 0.640 0.385  -0.02
N 0.507 0.014 0.281  0.00
N 0.712 0.425 0.157  -0.03
N 0.043 0.086 0.032  -0.01

***

4.
Here is a geometry-optimized HfTc2Pt structure from Alexandria via LeMat-Bulk. Energies are from PBE.

Calculated values
**Excess energy over the best structure of this formula in the dataset**: 0.1475 eV per atom
**ΔE_f**: 0.091 eV per atom
**Space group**: I-42d
**Calculated density**: 13361 kg/m³

Unit cell a=3.757 b=3.757 c=10.373 alpha=79.57 beta=79.57 gamma=90.00
Sites, in units of the cell vectors:
Hf 0.500 0.500 0.000
Hf 0.250 0.750 0.500
Tc 0.657 0.125 0.250
Tc 0.093 0.625 0.250
Tc 0.375 0.343 0.750
Tc 0.875 0.907 0.750
Pt 0.000 0.000 0.000
Pt 0.750 0.250 0.500

***

5.
Here is a geometry-optimized TmTlTe2 structure from Alexandria via LeMat-Bulk. Energies are from PBE.

Calculated values
**Space group**: R3m
**Uncorrected formation energy**: -1.015 eV per atom
**Calculated density**: 7510 kg/m³

Unit cell a=4.389 b=4.389 c=8.709 alpha=75.41 beta=75.41 gamma=60.00
Sites, in units of the cell vectors:
Tm 0.667 0.667 0.998
Tl 0.499 0.499 0.502
Te 0.070 0.070 0.791
Te 0.264 0.264 0.208

***

6.
Here is a geometry-optimized Na3SnHg8 structure from Alexandria via LeMat-Bulk. Energies are from PBE.

Calculated values
**ΔE_f**: -0.145 eV per atom
**Space group**: Cm
**Calculated density**: 9605 kg/m³

Unit cell a=7.691 b=9.014 c=9.872 alpha=39.96 beta=120.88 gamma=135.05
Sites, in units of the cell vectors:
Na 0.696 0.479 0.721
Na 0.216 0.521 0.200
Na 0.238 0.000 0.391
Sn 0.192 0.000 0.035
Hg 0.205 0.000 0.702
Hg 0.215 0.516 0.532
Hg 0.699 0.484 0.048
Hg 0.690 0.000 0.858
Hg 0.723 0.000 0.545
Hg 0.709 0.525 0.363
Hg 0.184 0.475 0.888
Hg 0.733 0.000 0.219